Ac2HfCuO6 | Alexandria via LeMat-Bulk | PBE | optimized geometry; symmetry = P4/mmm; DFT total energy = -8.0188 eV/atom; density = 9.50 g cm⁻³; density of states at the Fermi level = 0.218 states/eV per atom; uncorrected formation energy = -2.817 eV/atom
1.0
4.060 0.000 0.000
0.000 4.060 0.000
0.000 0.000 8.396
Ac Hf Cu O
2 1 1 6
Direct
0.000 0.000 0.218
0.000 0.000 0.782
0.500 0.500 0.500
0.500 0.500 0.000
0.000 0.500 0.000
0.000 0.500 0.500
0.500 0.000 0.000
0.500 0.000 0.500
0.500 0.500 0.254
0.500 0.500 0.746

Tl2ReGe | Alexandria via LeMat-Bulk | PBE | optimized geometry; offset from the most stable computed form = 0.0000 eV/atom; symmetry = I-42d; DFT total energy = -4.3673 eV/atom; density = 12.43 g cm⁻³; E_form = 1.08 eV per atom; density of states at the Fermi level = 0.853 states/eV per atom
1.0
4.083 0.000 0.000
0.000 4.083 0.000
0.000 0.000 21.401
Tl Re Ge
8 4 4
Direct
0.245 0.250 0.125
0.250 0.745 0.375
0.250 0.755 0.875
0.255 0.250 0.625
0.745 0.750 0.625
0.750 0.245 0.875
0.750 0.255 0.375
0.755 0.750 0.125
0.000 0.000 0.000
0.000 0.500 0.250
0.500 0.000 0.750
0.500 0.500 0.500
0.000 0.000 0.500
0.000 0.500 0.750
0.500 0.000 0.250
0.500 0.500 0.000